A.
## Tb12SmEr6 (PBE)

Data for a geometry-optimized Tb12SmEr6 structure.

The structure belongs to space group R-3m (No. 166, hexagonal axes); the cell edges are 15.0446, 15.0446 and 9.9875 Å and the angles 90.00°, 90.00° and 120.00°. The distinct sites, in fractional coordinates, are Tb at (0.0000, 0.3894, 0.0000), Tb at (0.0722, 0.1444, 0.7956), Sm at (0.0000, 0.0000, 0.5000) and Er at (0.0514, 0.5257, 0.7108).

Its crystal system is trigonal. As for the density: 7.789 g cm⁻³.

***

B.
## Tb12SmEr6 (PBE)

Data for a geometry-optimized Tb12SmEr6 structure.

The structure belongs to space group R-3 (No. 148, hexagonal axes); the cell edges are 11.8775, 11.8775 and 15.1103 Å and the angles 90.00°, 90.00° and 120.00°. The distinct sites, in fractional coordinates, are Tb at (0.0124, 0.8330, 0.1914), Tb at (0.0427, 0.8505, 0.4161), Sm at (0.0000, 0.0000, 0.0000) and Er at (0.0107, 0.4240, 0.6819).

Its crystal system is trigonal. As for the density: 8.260 g cm⁻³.

***

Most stable structure: B